Computed, not measured: a relaxed structure of LiCr2Rh at the GGA-PBE level of DFT.

- Final energy: -6.93 eV per atom
- V: 50 Å³/cell
- Formation energy from the elements: 0.1999 eV/atom
- Size of the total moment: 0.14 μB per atom

a b c (Å): 3.962 2.605 4.899
angles (deg): 81.04 90.00 90.00
Sites, in units of the cell vectors:
Cr1 0.000 0.046 0.013
Cr2 0.500 0.234 0.246
Li1 0.000 0.475 0.502
Rh1 0.500 0.745 0.739